VASP calculation (PBE-GGA) on a relaxed UFe3 crystal.

Unit cell a=3.817 b=3.817 c=7.312 alpha=90.00 beta=90.00 gamma=90.00
Space group I4/mmm (No. 139)
Asymmetric unit:
U (0.000, 0.000, 0.000) [2 per cell]
Fe (0.000, 0.000, 0.500) [2 per cell]
Fe (0.000, 0.500, 0.250) [4 per cell]

- DOS(E_F) (states/eV/atom) = 1.23
- VASP energy (Ry/atom) = -0.6741